(1)
First-principles (PBE-GGA) data for ErH6Pd8 after structural relaxation, as listed in Alexandria via LeMat-Bulk.

The electronic total energy is -4.7388 eV/atom. Its total magnetization is 0.00 μB per cell.

Cell: 6.5144 6.5131 8.0015 Å, 65.21 55.16 35.62°
Fractional coordinates of all 15 atoms:
Pd: 0.6645 0.6658 0.0017
Pd: 0.5622 0.8846 0.3228
Pd: 0.3355 0.3342 0.9983
Pd: 0.1061 0.7801 0.6736
Pd: 0.7795 0.4472 0.6669
Pd: 0.8939 0.2199 0.3264
Pd: 0.2205 0.5528 0.3331
Pd: 0.4378 0.1154 0.6772
H: 0.5929 0.3006 0.7081
H: 0.1023 0.3866 0.2841
H: 0.2991 0.9144 0.6174
H: 0.7009 0.0856 0.3826
H: 0.8977 0.6134 0.7159
H: 0.4071 0.6994 0.2919
Er: 0.0000 0.0000 0.0000



(2)
First-principles (PBE-GGA) data for AcNdCoNi after structural relaxation, as listed in Alexandria via LeMat-Bulk.

The electronic total energy is -5.6040 eV/atom. The calculation puts the energy above the most stable polymorph in this dataset at 0 meV per atom. As for the formation energy: -0.163 eV per atom. Its total magnetization is 0.00 μB per cell.

Cell: 4.0471 4.0471 7.7858 Å, 90.01 105.07 120.00°
Fractional coordinates of all 4 atoms:
Ni: 0.8452 0.2872 0.1324
Nd: 0.3413 0.0354 0.3767
Co: 0.5112 0.6202 0.1314
Ac: 0.9944 0.8616 0.8561



(3)
First-principles (PBE-GGA) data for La2ZrHg after structural relaxation, as listed in Alexandria via LeMat-Bulk.

The electronic total energy is -4.6242 eV/atom. As for the formation energy: 0.052 eV per atom. Its total magnetization is 0.00 μB per cell.

Cell: 5.9147 5.9147 5.8084 Å, 79.84 79.84 34.29°
Fractional coordinates of all 4 atoms:
La: 0.5095 0.5095 0.4853
La: 0.9905 0.9905 0.0147
Hg: 0.2500 0.2500 0.2500
Zr: 0.7500 0.7500 0.7500